1.
This record from the Alexandria database describes an optimized crystal structure of LiTbLuCo. The functional is PBE-GGA.

Computed properties:
For the calculated volume, the calculation gives 19.711 Å³/atom. As for the energy relative to the elements: -99 meV per atom. The crystal system is cubic. The electronic total energy is -4.64 eV/atom. For the theoretical density, the calculation gives 8420 kg/m³.

Geometry as extended XYZ:
```
4
Lattice="4.813 0.000 0.000 2.407 4.168 0.000 2.407 1.389 3.930" Properties=species:S:1:pos:R:3 pbc="T T T"
Li 0.000 0.000 0.000
Co 4.813 2.779 1.965
Lu 2.407 1.389 0.982
Tb 7.220 4.168 2.947
```


2.
This record from the Alexandria database describes an optimized crystal structure of LiLuTiCo. The functional is PBE-GGA.

Computed properties:
For the calculated volume, the calculation gives 16.279 Å³/atom. As for the energy relative to the elements: -19 meV per atom. The crystal system is cubic. The electronic total energy is -5.38 eV/atom. For the theoretical density, the calculation gives 7362 kg/m³.

Geometry as extended XYZ:
```
4
Lattice="4.516 0.000 0.000 2.258 3.911 0.000 2.258 1.304 3.687" Properties=species:S:1:pos:R:3 pbc="T T T"
Co 0.000 0.000 0.000
Li 4.516 2.607 1.844
Ti 2.258 1.304 0.922
Lu 6.774 3.911 2.765
```